Computed, not measured: a relaxed structure of Nb4AlGa at the PBE-GGA level of DFT.

a = 8.2586 Å, b = 8.2638 Å, c = 3.7313 Å
α = 90.00°, β = 90.00°, γ = 90.00°
Last column: nearest neighbours and their distance in Å.
Space group Cmmm (No. 65)
Asymmetric unit:
Nb1 0.0000 0.2033 0.0000  1 Ga 2.45, 2 Al 2.51
Nb2 0.2035 0.5000 0.5000  1 Al 2.45, 2 Ga 2.51
Al1 0.0000 0.0000 0.5000  6 Nb 2.45-2.51
Ga1 0.0000 0.5000 0.0000  6 Nb 2.45-2.51

- total magnetic moment (μB/f.u.) = 0.000
- excess energy over the best structure of this formula in the dataset (kJ/mol of formula units) = 671.7
- energy of formation (eV/f.u.) = 5.5

---

Computed, not measured: a relaxed structure of Nb6AlGa3 at the PBE-GGA level of DFT.

a = 7.1090 Å, b = 6.6165 Å, c = 9.8711 Å
α = 90.00°, β = 129.25°, γ = 90.00°
Last column: nearest neighbours and their distance in Å.
Space group P2_1/c (No. 14)
Asymmetric unit:
Nb1 0.0238 0.1399 0.3019  4 Nb 2.74-3.05, 3 Ga 2.79-3.02, 1 Al 3.02
Nb2 0.2822 0.1945 0.7095  4 Ga 2.58-2.87, 1 Al 2.67, 2 Nb 2.74-2.76
Nb3 0.3972 0.6152 0.8531  5 Nb 2.74-2.99, 4 Ga 2.79-2.85, 1 Al 2.87
Al1 0.0000 0.0000 0.0000  2 Ga 2.60, 4 Nb 2.67-2.87
Ga1 0.2364 0.6711 0.0482  1 Al 2.60, 7 Nb 2.79-2.87
Ga2 0.5000 0.0000 0.0000  4 Nb 2.58-2.79

- total magnetic moment (μB/f.u.) = 0.000
- energy of formation (eV/f.u.) = -0.4

---

Computed, not measured: a relaxed structure of Nb12AlGa3 at the PBE-GGA level of DFT.

a = 5.2093 Å, b = 5.2133 Å, c = 10.3600 Å
α = 90.00°, β = 90.00°, γ = 90.00°
Last column: nearest neighbours and their distance in Å.
Space group Pmmm (No. 47)
Asymmetric unit:
Nb1 0.0000 0.0000 0.1241  2 Nb 2.57-2.60
Nb2 0.0000 0.0000 0.3754  2 Nb 2.58-2.60
Nb3 0.2508 0.5000 0.2499  2 Nb 2.60-2.61, 1 Ga 2.90, 1 Al 2.90
Nb4 0.5000 0.2512 0.0000  2 Nb 2.59-2.62, 2 Ga 2.90
Nb5 0.5000 0.2529 0.5000  2 Nb 2.58-2.64
Al1 0.0000 0.5000 0.5000  12 Nb 2.90-2.91
Ga1 0.0000 0.5000 0.0000  12 Nb 2.90-2.91
Ga2 0.5000 0.0000 0.2501  12 Nb 2.90-2.91

- total magnetic moment (μB/f.u.) = 0.000
- energy of formation (eV/f.u.) = -3.2

---

Computed, not measured: a relaxed structure of Nb2AlGa at the PBE-GGA level of DFT.

a = 7.1779 Å, b = 7.1779 Å, c = 5.5895 Å
α = 90.00°, β = 90.00°, γ = 90.00°
Last column: nearest neighbours and their distance in Å.
Space group I-42d (No. 122)
Asymmetric unit:
Nb1 0.2467 0.2500 0.1250  2 Ga 2.62, 2 Al 2.65, 2 Nb 2.80
Al1 0.0000 0.0000 0.5000  4 Nb 2.65, 2 Ga 2.79
Ga1 0.0000 0.0000 0.0000  4 Nb 2.62, 2 Al 2.79

- total magnetic moment (μB/f.u.) = 0.000
- energy of formation (eV/f.u.) = 0.3

---

Computed, not measured: a relaxed structure of NbAlGa3 at the PBE-GGA level of DFT.

a = 5.0789 Å, b = 5.0789 Å, c = 5.0789 Å
α = 90.00°, β = 90.00°, γ = 90.00°
Last column: nearest neighbours and their distance in Å.
Space group Pm-3m (No. 221)
Asymmetric unit:
Nb1 0.0000 0.0000 0.0000  6 Ga 2.54
Al1 0.5000 0.5000 0.5000  12 Ga 3.59
Ga1 0.0000 0.0000 0.5000  2 Nb 2.54

- total magnetic moment (μB/f.u.) = 0.000
- excess energy over the best structure of this formula in the dataset (kJ/mol of formula units) = 327.2
- energy of formation (eV/f.u.) = 3.1

---

Computed, not measured: a relaxed structure of Nb2AlGa at the PBE-GGA level of DFT.

a = 5.3392 Å, b = 3.8275 Å, c = 7.0066 Å
α = 90.00°, β = 109.06°, γ = 90.00°
Last column: nearest neighbours and their distance in Å.
Space group P2_1/m (No. 11)
Asymmetric unit:
Nb1 0.1838 0.2500 0.4212  4 Al 2.67-2.95, 3 Ga 2.72-2.96
Nb2 0.1836 0.2500 0.9217  4 Ga 2.67-2.96, 3 Al 2.72-2.94
Al1 0.3460 0.7500 0.7125  2 Ga 2.47, 5 Nb 2.67-2.72
Ga1 0.3448 0.7500 0.2113  2 Al 2.47, 5 Nb 2.67-2.72

- total magnetic moment (μB/f.u.) = 0.000
- energy of formation (eV/f.u.) = -1.3

---

Computed, not measured: a relaxed structure of Nb3AlGa4 at the PBE-GGA level of DFT.

a = 9.5743 Å, b = 5.3781 Å, c = 5.2402 Å
α = 90.00°, β = 90.00°, γ = 90.00°
Last column: nearest neighbours and their distance in Å.
Space group Pmn2_1 (No. 31)
Asymmetric unit:
Nb1 0.0000 0.1121 0.0000  5 Ga 2.61-2.90
Nb2 0.2391 0.3689 0.5017  7 Ga 2.64-2.95, 2 Al 2.82-2.92
Al1 0.0000 0.6001 0.2483  2 Ga 2.54-2.70, 2 Nb 2.82
Ga1 0.0000 0.1251 0.4980  2 Ga 2.54, 4 Nb 2.61-2.64
Ga2 0.0000 0.5987 0.7630  2 Al 2.54-2.70, 2 Nb 2.80
Ga3 0.2206 0.8620 0.4964  1 Ga 2.54, 3 Nb 2.66-2.73

- total magnetic moment (μB/f.u.) = 0.000
- energy of formation (eV/f.u.) = -1.5

---

Computed, not measured: a relaxed structure of Nb7Al2Ga2 at the PBE-GGA level of DFT.

a = 4.9204 Å, b = 8.8452 Å, c = 9.1056 Å
α = 90.00°, β = 90.00°, γ = 90.00°
Last column: nearest neighbours and their distance in Å.
Space group Immm (No. 71)
Asymmetric unit:
Nb1 0.0000 0.0000 0.0000  4 Nb 2.51
Nb2 0.0000 0.1919 0.2035  3 Nb 2.51-2.80
Nb3 0.2476 0.0000 0.5000  2 Nb 2.44-2.48
Al1 0.0000 0.2902 0.5000  2 Ga 2.71, 4 Nb 2.84
Ga1 0.0000 0.5000 0.2824  2 Al 2.71, 8 Nb 2.82-2.99

- total magnetic moment (μB/f.u.) = 0.000
- energy of formation (eV/f.u.) = 0.2

---

Computed, not measured: a relaxed structure of Nb3AlGa2 at the PBE-GGA level of DFT.

a = 11.8294 Å, b = 5.2721 Å, c = 7.4177 Å
α = 90.00°, β = 108.26°, γ = 90.00°
Last column: nearest neighbours and their distance in Å.
Space group C2/c (No. 15)
Asymmetric unit:
Nb1 0.0000 0.0012 0.2500  4 Ga 2.63, 2 Al 2.64
Nb2 0.1681 0.5003 0.0840  4 Ga 2.63-2.64, 2 Al 2.65
Al1 0.0000 0.4988 0.7500  6 Nb 2.64-2.65
Ga1 0.1665 0.0003 0.0832  6 Nb 2.63-2.64

- total magnetic moment (μB/f.u.) = 0.000
- energy of formation (eV/f.u.) = 0.5

---

Computed, not measured: a relaxed structure of NbAlGa3 at the PBE-GGA level of DFT.

a = 4.7647 Å, b = 4.7647 Å, c = 4.7647 Å
α = 90.00°, β = 90.00°, γ = 90.00°
Last column: nearest neighbours and their distance in Å.
Space group Pm-3m (No. 221)
Asymmetric unit:
Nb1 0.0000 0.0000 0.0000  12 Ga 3.37
Al1 0.5000 0.5000 0.5000  6 Ga 2.38
Ga1 0.0000 0.5000 0.5000  2 Al 2.38

- total magnetic moment (μB/f.u.) = 2.385
- excess energy over the best structure of this formula in the dataset (kJ/mol of formula units) = 463.8
- energy of formation (eV/f.u.) = 4.5

---

Computed, not measured: a relaxed structure of NbAl2Ga at the PBE-GGA level of DFT.

a = 4.0270 Å, b = 4.0270 Å, c = 3.9397 Å
α = 90.00°, β = 90.00°, γ = 90.00°
Last column: nearest neighbours and their distance in Å.
Space group P4/mmm (No. 123)
Asymmetric unit:
Nb1 0.0000 0.0000 0.0000  8 Al 2.82, 4 Ga 2.85
Al1 0.0000 0.5000 0.5000  4 Ga 2.82, 4 Nb 2.82, 4 Al 2.85
Ga1 0.5000 0.5000 0.0000  8 Al 2.82, 4 Nb 2.85

- total magnetic moment (μB/f.u.) = 0.000
- energy of formation (eV/f.u.) = -0.9

---

> Which of these has the lowest energy of formation?

Nb12AlGa3

---

> What is the total magnetic moment in the fifth record?

0.000 μB/f.u.